Crystalline BaNa2Sn2 at its relaxed geometry, computed with GGA-PBE.

Geometry as CIF:
```
data_BaNa2Sn2
_cell_length_a 14.5507
_cell_length_b 14.5507
_cell_length_c 5.0678
_cell_angle_alpha 99.73
_cell_angle_beta 99.73
_cell_angle_gamma 19.70
_space_group_name_H-M_alt 'P 1'
_space_group_IT_number 1
loop_
_space_group_symop_operation_xyz
'x,y,z'
loop_
_atom_site_label
_atom_site_fract_x
_atom_site_fract_y
_atom_site_fract_z
_atom_site_occupancy
Ba1 0.1723 0.1723 0.4009 1
Ba2 0.8277 0.8277 0.5991 1
Na1 0.0531 0.0531 0.7994 1
Na2 0.4467 0.4467 0.6989 1
Na3 0.5533 0.5533 0.3011 1
Na4 0.9469 0.9469 0.2006 1
Sn1 0.2768 0.2768 0.0961 1
Sn2 0.3767 0.3767 0.1296 1
Sn3 0.6233 0.6233 0.8704 1
Sn4 0.7232 0.7232 0.9039 1
```

E_form: -0.34 eV/atom
Fermi-level density of states: 5.17 states/eV per cell
Energy relative to the lowest polymorph listed for this composition: 0.032 eV/atom
Symmetry: C2/m, No. 12

=====

Crystalline BaNaSn2 at its relaxed geometry, computed with GGA-PBE.

Geometry as CIF:
```
data_BaNaSn2
_cell_length_a 7.0043
_cell_length_b 7.0043
_cell_length_c 7.7193
_cell_angle_alpha 90.00
_cell_angle_beta 90.00
_cell_angle_gamma 134.71
_space_group_name_H-M_alt 'P 1'
_space_group_IT_number 1
loop_
_space_group_symop_operation_xyz
'x,y,z'
loop_
_atom_site_label
_atom_site_fract_x
_atom_site_fract_y
_atom_site_fract_z
_atom_site_occupancy
Ba1 0.0904 0.9096 0.7500 1
Ba2 0.9096 0.0904 0.2500 1
Na1 0.2057 0.7943 0.2500 1
Na2 0.7943 0.2057 0.7500 1
Sn1 0.3928 0.6072 0.5629 1
Sn2 0.3928 0.6072 0.9371 1
Sn3 0.6072 0.3928 0.0629 1
Sn4 0.6072 0.3928 0.4371 1
```

E_form: -0.47 eV/atom
Fermi-level density of states: 2.13 states/eV per cell
Symmetry: Cmcm, No. 63

=====

Crystalline BaNaSn2 at its relaxed geometry, computed with GGA-PBE.

Geometry as CIF:
```
data_BaNaSn2
_cell_length_a 4.0613
_cell_length_b 4.0613
_cell_length_c 7.7486
_cell_angle_alpha 90.00
_cell_angle_beta 90.00
_cell_angle_gamma 90.00
_space_group_name_H-M_alt 'P 1'
_space_group_IT_number 1
loop_
_space_group_symop_operation_xyz
'x,y,z'
loop_
_atom_site_label
_atom_site_fract_x
_atom_site_fract_y
_atom_site_fract_z
_atom_site_occupancy
Ba1 0.0000 0.0000 0.0000 1
Na1 0.0000 0.0000 0.5000 1
Sn1 0.5000 0.5000 0.3016 1
Sn2 0.5000 0.5000 0.6984 1
```

E_form: -0.35 eV/atom
Fermi-level density of states: 2.17 states/eV per cell
Symmetry: P4/mmm, No. 123

=====

Q: Which of these has the lowest Fermi-level density of states?
A: number 2